## TaMo6 (meta-GGA SCAN)

Data for a crystal of TaMo6 relaxed with PBEsol.

Summary:
Total magnetization   0.00 μB per formula unit
Excess energy over the best structure of this formula in the dataset   41 meV per atom
Energy relative to the elements   -4 kJ/mol of atoms
D(E_F)   3.400 states/eV/f.u.

Lattice parameters (Å, degrees): 2.731 2.731 15.605 93.33 93.33 109.61
Positions (direct):
1 Mo 0.285 0.285 0.571
2 Mo 0.574 0.574 0.147
3 Mo 0.715 0.715 0.429
4 Mo 0.426 0.426 0.853
5 Mo 0.856 0.856 0.712
6 Mo 0.144 0.144 0.288
7 Ta 0.000 0.000 0.000

## BaCa2Ir2 (meta-GGA SCAN)

Data for a crystal of BaCa2Ir2 relaxed with PBEsol.

Summary:
Total magnetization   0.00 μB per formula unit
Energy relative to the elements   -18 kJ/mol of atoms
D(E_F)   5.766 states/eV/f.u.

Lattice parameters (Å, degrees): 4.655 4.655 6.844 109.88 109.88 90.00
Positions (direct):
1 Ir 0.603 0.603 0.207
2 Ir 0.397 0.397 0.793
3 Ca 0.250 0.750 0.500
4 Ca 0.750 0.250 0.500
5 Ba 0.000 0.000 0.000

## InBiAs3 (meta-GGA SCAN)

Data for a crystal of InBiAs3 relaxed with PBEsol.

Summary:
Total magnetization   0.00 μB per formula unit
Energy relative to the elements   84 kJ/mol of atoms
D(E_F)   4.206 states/eV/f.u.

Lattice parameters (Å, degrees): 5.107 5.107 5.107 90.00 90.00 90.00
Positions (direct):
1 In 0.000 0.000 0.000
2 As 0.000 0.000 0.500
3 As 0.000 0.500 0.000
4 As 0.500 0.000 0.000
5 Bi 0.500 0.500 0.500